No. 1
A relaxed Sc2Sn2P crystal, computed with PBE.

POSCAR file:
```
Sc2Sn2P
1.0
7.381 0.000 0.000
0.000 7.381 0.000
0.000 0.000 4.182
Sc Sn P
4 4 2
Direct
0.165 0.335 0.000
0.335 0.835 0.000
0.665 0.165 0.000
0.835 0.665 0.000
0.141 0.641 0.500
0.359 0.141 0.500
0.641 0.859 0.500
0.859 0.359 0.500
0.000 0.000 0.500
0.500 0.500 0.500
```

Computed properties:
magnetization: 0.0 μB per cell
formation enthalpy at 0 K: -0.283 eV per atom

No. 2
A relaxed FeCo4Ir3 crystal, computed with PBE.

POSCAR file:
```
FeCo4Ir3
1.0
10.232 -1.301 0.000
10.232 1.301 0.000
-0.104 0.000 4.445
Fe Co Ir
1 4 3
Direct
0.000 0.000 0.000
0.100 0.100 0.678
0.202 0.202 0.406
0.798 0.798 0.594
0.900 0.900 0.322
0.307 0.307 0.088
0.500 0.500 0.500
0.693 0.693 0.912
```

Computed properties:
magnetization: 11.2 μB per cell
formation enthalpy at 0 K: 0.395 eV per atom

No. 3
A relaxed ZrIn2Sn crystal, computed with PBE.

POSCAR file:
```
ZrIn2Sn
1.0
4.351 0.000 0.000
0.000 4.351 0.000
0.000 0.000 4.931
Zr In Sn
1 2 1
Direct
0.000 0.000 0.000
0.000 0.500 0.500
0.500 0.000 0.500
0.500 0.500 0.000
```

Computed properties:
magnetization: 0.0 μB per cell
formation enthalpy at 0 K: -0.142 eV per atom

No. 4
A relaxed Dy2HoEr2In crystal, computed with PBE.

POSCAR file:
```
Dy2HoEr2In
1.0
6.622 0.000 0.000
0.000 9.868 0.000
0.000 0.000 5.324
Dy Ho Er In
4 2 4 2
Direct
0.242 0.164 0.000
0.258 0.664 0.500
0.742 0.336 0.500
0.758 0.836 0.000
0.000 0.500 0.000
0.500 0.000 0.500
0.244 0.837 0.000
0.256 0.337 0.500
0.744 0.663 0.500
0.756 0.163 0.000
0.000 0.000 0.500
0.500 0.500 0.000
```

Computed properties:
magnetization: 0.0 μB per cell
formation enthalpy at 0 K: -0.035 eV per atom

No. 5
A relaxed RuSO5 crystal, computed with PBE.

POSCAR file:
```
RuSO5
1.0
3.682 -3.654 0.000
3.682 3.654 0.000
-3.539 0.000 6.282
Ru S O
2 2 10
Direct
0.000 0.000 0.000
0.000 0.000 0.500
0.388 0.612 0.750
0.612 0.388 0.250
0.051 0.949 0.250
0.267 0.714 0.572
0.286 0.733 0.928
0.303 0.339 0.166
0.339 0.303 0.666
0.661 0.697 0.334
0.697 0.661 0.834
0.714 0.267 0.072
0.733 0.286 0.428
0.949 0.051 0.750
```

Computed properties:
magnetization: 0.0 μB per cell
uncorrected formation energy: -1.052 eV per atom

No. 6
A relaxed Er6Te3PbAu2 crystal, computed with PBE.

POSCAR file:
```
Er6Te3PbAu2
1.0
9.620 -2.074 0.000
9.620 2.074 0.000
-2.802 0.000 8.438
Er Te Pb Au
6 3 1 2
Direct
0.012 0.012 0.258
0.329 0.329 0.874
0.332 0.332 0.411
0.668 0.668 0.589
0.671 0.671 0.126
0.988 0.988 0.742
0.161 0.161 0.850
0.500 0.500 0.500
0.839 0.839 0.150
0.500 0.500 0.000
0.176 0.176 0.363
0.824 0.824 0.637
```

Computed properties:
magnetization: 0.0 μB per cell
uncorrected formation energy: -0.969 eV per atom